Density functional theory data (GGA-PBE) for an optimized crystal structure of Ac2LuMg. Values from VASP.

The structure in Quantum ESPRESSO input format:
```
&SYSTEM
  ibrav = 0, nat = 4, ntyp = 3
/
ATOMIC_SPECIES
Ac 227.00 Ac.upf
Lu 174.97 Lu.upf
Mg 24.30 Mg.upf
ATOMIC_POSITIONS angstrom
Ac -8.5174 3.8374 2.3474
Ac -4.8792 3.5943 -3.9145
Lu 0.0000 0.0000 0.0000
Mg -6.6983 3.7158 -0.7836
CELL_PARAMETERS angstrom
-0.1527 2.8068 -2.3164
-1.7976 -0.3342 -3.1503
-11.4463 4.9591 3.8996
```

Summary:
Energy of formation ... 0.308 eV/atom
ΔE to the lowest computed polymorph ... 1.19 eV/f.u.

Density functional theory data (GGA-PBE) for an optimized crystal structure of Ac2LuMg. Values from VASP.

The structure in Quantum ESPRESSO input format:
```
&SYSTEM
  ibrav = 0, nat = 4, ntyp = 3
/
ATOMIC_SPECIES
Ac 227.00 Ac.upf
Lu 174.97 Lu.upf
Mg 24.30 Mg.upf
ATOMIC_POSITIONS angstrom
Ac 0.0000 0.0000 6.5612
Ac 0.0000 0.0000 2.0670
Lu 2.0456 2.0456 4.3141
Mg 2.0456 2.0456 0.0000
CELL_PARAMETERS angstrom
4.0913 0.0000 0.0000
0.0000 4.0913 0.0000
0.0000 0.0000 8.6282
```

Summary:
Energy of formation ... 0.012 eV/atom
ΔE to the lowest computed polymorph ... 0.00 eV/f.u.

Density functional theory data (GGA-PBE) for an optimized crystal structure of AcLu2Mg. Values from VASP.

The structure in Quantum ESPRESSO input format:
```
&SYSTEM
  ibrav = 0, nat = 4, ntyp = 3
/
ATOMIC_SPECIES
Ac 227.00 Ac.upf
Lu 174.97 Lu.upf
Mg 24.30 Mg.upf
ATOMIC_POSITIONS angstrom
Ac 0.0000 0.0000 0.0000
Lu -3.1675 -0.2965 1.3448
Lu -9.5024 -0.8895 4.0343
Mg -6.3349 -0.5930 2.6895
CELL_PARAMETERS angstrom
-5.1953 2.1941 0.0744
-4.4826 -3.3827 0.5234
-2.9919 0.0026 4.7812
```

Summary:
Energy of formation ... 0.190 eV/atom
ΔE to the lowest computed polymorph ... 0.65 eV/f.u.

Density functional theory data (GGA-PBE) for an optimized crystal structure of AcLuMgPb. Values from VASP.

The structure in Quantum ESPRESSO input format:
```
&SYSTEM
  ibrav = 0, nat = 4, ntyp = 4
/
ATOMIC_SPECIES
Pb 207.20 Pb.upf
Ac 227.00 Ac.upf
Lu 174.97 Lu.upf
Mg 24.30 Mg.upf
ATOMIC_POSITIONS angstrom
Pb 0.0000 0.0000 0.0000
Ac 8.3699 4.8323 3.4170
Lu 2.7900 1.6108 1.1390
Mg 5.5799 3.2216 2.2780
CELL_PARAMETERS angstrom
5.5799 0.0000 0.0000
2.7900 4.8323 0.0000
2.7900 1.6108 4.5560
```

Summary:
Energy of formation ... -0.194 eV/atom

Density functional theory data (GGA-PBE) for an optimized crystal structure of AcPmLuMg. Values from VASP.

The structure in Quantum ESPRESSO input format:
```
&SYSTEM
  ibrav = 0, nat = 4, ntyp = 4
/
ATOMIC_SPECIES
Ac 227.00 Ac.upf
Lu 174.97 Lu.upf
Mg 24.30 Mg.upf
Pm 145.00 Pm.upf
ATOMIC_POSITIONS angstrom
Ac 0.0000 0.0000 0.0000
Lu 2.8554 1.6485 1.1657
Mg 8.5661 4.9456 3.4971
Pm 5.7107 3.2971 2.3314
CELL_PARAMETERS angstrom
5.7107 0.0000 0.0000
2.8554 4.9456 0.0000
2.8554 1.6485 4.6628
```

Summary:
Energy of formation ... 0.031 eV/atom

Density functional theory data (GGA-PBE) for an optimized crystal structure of AcPrLuMg. Values from VASP.

The structure in Quantum ESPRESSO input format:
```
&SYSTEM
  ibrav = 0, nat = 4, ntyp = 4
/
ATOMIC_SPECIES
Pr 140.91 Pr.upf
Ac 227.00 Ac.upf
Lu 174.97 Lu.upf
Mg 24.30 Mg.upf
ATOMIC_POSITIONS angstrom
Pr -1.4260 -1.4747 2.8524
Ac -4.2781 -4.4242 8.5571
Lu -2.8521 -2.9495 5.7048
Mg 0.0000 0.0000 0.0000
CELL_PARAMETERS angstrom
-4.8107 -0.5589 3.0763
-1.1720 -4.9709 2.6144
0.2785 -0.3691 5.7188
```

Summary:
Energy of formation ... 0.023 eV/atom

Density functional theory data (GGA-PBE) for an optimized crystal structure of AcLuMgRh. Values from VASP.

The structure in Quantum ESPRESSO input format:
```
&SYSTEM
  ibrav = 0, nat = 4, ntyp = 4
/
ATOMIC_SPECIES
Ac 227.00 Ac.upf
Lu 174.97 Lu.upf
Rh 102.91 Rh.upf
Mg 24.30 Mg.upf
ATOMIC_POSITIONS angstrom
Ac 0.0000 0.0000 0.0000
Lu 0.7901 -3.4692 5.3452
Rh 0.3950 -1.7346 2.6726
Mg 1.1851 -5.2038 8.0178
CELL_PARAMETERS angstrom
-0.6878 -4.7170 2.1826
3.5134 -1.8391 3.4294
-1.2454 -0.3822 5.0784
```

Summary:
Energy of formation ... -0.267 eV/atom

Density functional theory data (GGA-PBE) for an optimized crystal structure of AcLuMgRu. Values from VASP.

The structure in Quantum ESPRESSO input format:
```
&SYSTEM
  ibrav = 0, nat = 4, ntyp = 4
/
ATOMIC_SPECIES
Ru 101.07 Ru.upf
Ac 227.00 Ac.upf
Lu 174.97 Lu.upf
Mg 24.30 Mg.upf
ATOMIC_POSITIONS angstrom
Ru 7.8070 4.5074 3.1872
Ac 5.2047 3.0049 2.1248
Lu 0.0000 0.0000 0.0000
Mg 2.6023 1.5025 1.0624
CELL_PARAMETERS angstrom
5.2047 0.0000 0.0000
2.6023 4.5074 0.0000
2.6023 1.5025 4.2496
```

Summary:
Energy of formation ... -0.013 eV/atom

Density functional theory data (GGA-PBE) for an optimized crystal structure of SrAcLuMg. Values from VASP.

The structure in Quantum ESPRESSO input format:
```
&SYSTEM
  ibrav = 0, nat = 4, ntyp = 4
/
ATOMIC_SPECIES
Sr 87.62 Sr.upf
Ac 227.00 Ac.upf
Lu 174.97 Lu.upf
Mg 24.30 Mg.upf
ATOMIC_POSITIONS angstrom
Sr 8.8702 5.1212 3.6212
Ac 2.9567 1.7071 1.2071
Lu 5.9135 3.4141 2.4142
Mg 0.0000 0.0000 0.0000
CELL_PARAMETERS angstrom
5.9135 0.0000 0.0000
2.9567 5.1212 0.0000
2.9567 1.7071 4.8283
```

Summary:
Energy of formation ... 0.114 eV/atom

Density functional theory data (GGA-PBE) for an optimized crystal structure of AcLuThMg. Values from VASP.

The structure in Quantum ESPRESSO input format:
```
&SYSTEM
  ibrav = 0, nat = 4, ntyp = 4
/
ATOMIC_SPECIES
Ac 227.00 Ac.upf
Lu 174.97 Lu.upf
Mg 24.30 Mg.upf
Th 232.04 Th.upf
ATOMIC_POSITIONS angstrom
Ac 8.5097 4.9131 3.4741
Lu 0.0000 0.0000 0.0000
Mg 5.6731 3.2754 2.3160
Th 2.8366 1.6377 1.1580
CELL_PARAMETERS angstrom
5.6731 0.0000 0.0000
2.8366 4.9131 0.0000
2.8366 1.6377 4.6321
```

Summary:
Energy of formation ... 0.117 eV/atom

Density functional theory data (GGA-PBE) for an optimized crystal structure of AcLuMgTl. Values from VASP.

The structure in Quantum ESPRESSO input format:
```
&SYSTEM
  ibrav = 0, nat = 4, ntyp = 4
/
ATOMIC_SPECIES
Mg 24.30 Mg.upf
Ac 227.00 Ac.upf
Lu 174.97 Lu.upf
Tl 204.38 Tl.upf
ATOMIC_POSITIONS angstrom
Mg -1.1465 -6.3861 2.1107
Ac -1.7198 -9.5791 3.1660
Lu -0.5733 -3.1930 1.0553
Tl 0.0000 0.0000 0.0000
CELL_PARAMETERS angstrom
-3.9253 -3.6670 1.4762
0.6019 -5.3893 -1.2756
1.0303 -3.7158 4.0207
```

Summary:
Energy of formation ... -0.165 eV/atom

Density functional theory data (GGA-PBE) for an optimized crystal structure of AcTmLuMg. Values from VASP.

The structure in Quantum ESPRESSO input format:
```
&SYSTEM
  ibrav = 0, nat = 4, ntyp = 4
/
ATOMIC_SPECIES
Ac 227.00 Ac.upf
Lu 174.97 Lu.upf
Tm 168.93 Tm.upf
Mg 24.30 Mg.upf
ATOMIC_POSITIONS angstrom
Ac -3.0698 1.5889 -0.0684
Lu -6.1397 3.1777 -0.1367
Tm -9.2095 4.7666 -0.2051
Mg 0.0000 0.0000 0.0000
CELL_PARAMETERS angstrom
-2.8937 4.5156 1.7637
-3.9136 2.3257 -3.3392
-5.4721 -0.4858 1.3021
```

Summary:
Energy of formation ... 0.060 eV/atom

Question: energy of formation of number 3 (AcLu2Mg)?
Answer: 0.190 eV/atom